No. 1
The following is a DFT calculation (PBE-GGA) of an optimized crystal structure of BeAs2PtW.

As for the space group: No. 123. The value obtained for the total DFT energy (no corrections) is -5.290 eV/atom.

```
5
Lattice="-4.553 -0.211 1.803 -1.305 -1.561 -3.479 0.881 -4.514 1.695" Properties=species:S:1:pos:R:3 pbc="T T T"
As 0.440 -2.257 0.848
As -2.277 -0.106 0.901
W -2.489 -3.143 0.010
Be -0.652 -0.781 -1.739
Pt 0.000 0.000 0.000
```

---

No. 2
The following is a DFT calculation (PBE-GGA) of an optimized crystal structure of YBe2AsPt.

As for the space group: No. 123. The value obtained for the total DFT energy (no corrections) is -5.185 eV/atom.

```
5
Lattice="4.218 0.000 0.000 0.000 5.311 0.000 0.000 0.000 4.218" Properties=species:S:1:pos:R:3 pbc="T T T"
Y 2.109 2.655 2.109
Be 0.000 0.000 2.109
Be 2.109 0.000 0.000
As 0.000 2.655 0.000
Pt 0.000 0.000 0.000
```

---

no.,M_tot (μB/cell)
1,1.99
2,0.00